[1]
AlZnN2 | Alexandria via LeMat-Bulk | PBE | relaxed; space-group type = No. 166; energy relative to the lowest polymorph listed for this composition = 926.8 meV per atom
1.0
1.8499 0.0000 5.6994
-0.9249 1.6020 5.6994
-0.9249 -1.6020 5.6994
Zn Al N
1 1 2
direct
0.5000 0.5000 0.5000
0.0000 0.0000 0.0000
0.8964 0.8964 0.8964
0.1036 0.1036 0.1036

---

[2]
AcNdHo5 | Alexandria via LeMat-Bulk | PBE | relaxed; formation energy from the elements = 0.096 eV per atom; space-group type = No. 15
1.0
6.4362 0.3364 -1.6551
-1.4039 6.2902 -1.6551
-0.3644 -0.4799 11.8784
Ac Nd Ho
2 2 10
direct
0.0000 0.0000 0.0000
0.0000 0.0000 0.5000
0.4833 0.5167 0.7500
0.5167 0.4833 0.2500
0.3848 0.0369 0.8332
0.4715 0.7638 0.5352
0.0369 0.3848 0.3332
0.8240 0.1760 0.7500
0.2362 0.5285 0.9648
0.7638 0.4715 0.0352
0.1760 0.8240 0.2500
0.9631 0.6152 0.6668
0.5285 0.2362 0.4648
0.6152 0.9631 0.1668

---

[3]
AlTe2W | Alexandria via LeMat-Bulk | PBE | relaxed; space-group type = No. 216
1.0
4.8886 0.0000 0.0000
2.4443 4.2337 0.0000
2.4443 1.4112 3.9916
Te Al W
2 1 1
direct
0.0000 0.0000 0.0000
0.2500 0.2500 0.2500
0.5000 0.5000 0.5000
0.7500 0.7500 0.7500

---

no.,electronic total energy (eV for the cell shown)
1,-19.40
2,-62.19
3,-19.30